(1)
The following is a DFT calculation (PBE-GGA) of an optimized crystal structure of Tb4Bi2SeN2.

Results
As for the formation energy without anion corrections: -1.286 eV/atom. The total DFT energy (no corrections) is -6.443 eV per atom.

Unit cell a=15.5147 b=3.8575 c=7.9829 alpha=90.00 beta=107.96 gamma=90.00
Space group C2/m (No. 12)
Asymmetric unit:
Tb: 0.0445 0.0000 0.2771 x4
Tb: 0.2080 0.5000 0.6341 x4
Bi: 0.1332 0.5000 0.0141 x4
Se: 0.0000 0.5000 0.5000 x2
N: 0.1743 0.0000 0.4745 x4

(2)
The following is a DFT calculation (PBE-GGA) of an optimized crystal structure of InTe2PbN.

Results
As for the formation energy without anion corrections: 0.986 eV/atom. The total DFT energy (no corrections) is -3.225 eV per atom. The value obtained for the energy above the most stable polymorph in this dataset is 6.19 kcal/mol of atoms.

Unit cell a=6.6775 b=6.6775 c=4.7155 alpha=90.00 beta=90.00 gamma=90.00
Space group P4/mmm (No. 123)
Asymmetric unit:
In: 0.0000 0.0000 0.0000 x1
Te: 0.0000 0.5000 0.5000 x2
Pb: 0.5000 0.5000 0.5000 x1
N: 0.5000 0.5000 0.0000 x1

(3)
The following is a DFT calculation (PBE-GGA) of an optimized crystal structure of LiPtCl.

Results
As for the formation energy without anion corrections: -0.289 eV/atom. The total DFT energy (no corrections) is -3.556 eV per atom. The value obtained for the energy above the most stable polymorph in this dataset is 12.40 kcal/mol of atoms.

Unit cell a=3.1256 b=3.1256 c=9.6666 alpha=90.00 beta=90.00 gamma=90.00
Space group I4mm (No. 107)
Asymmetric unit:
Li: 0.0000 0.0000 0.0000 x2
Pt: 0.0000 0.0000 0.6621 x2
Cl: 0.0000 0.0000 0.4009 x2